Entry 1:
Compound: CoCu
Source: the Alexandria database
Functional: GGA-PBEsol
Structure: optimized geometry

Geometry as POSCAR:
```
CoCu
1.0
1.2009 -4.6997 0.0000
1.2009 4.6997 0.0000
0.0000 0.0000 3.8955
Co Cu
2 2
Direct
0.0606 0.9394 0.7500
0.9394 0.0606 0.2500
0.3196 0.6804 0.7500
0.6804 0.3196 0.2500
```

Results
SG ... Cmcm (63)
Formation energy from the elements ... 0.2063 eV/atom


Entry 2:
Compound: Co2Cu
Source: the Alexandria database
Functional: GGA-PBEsol
Structure: optimized geometry

Geometry as POSCAR:
```
Co2Cu
1.0
2.4646 0.0000 0.0000
-1.2323 2.1344 0.0000
0.0000 0.0000 6.0992
Co Cu
2 1
Direct
0.3333 0.6667 0.1567
0.6667 0.3333 0.8433
0.0000 0.0000 0.5000
```

Results
SG ... P-3m1 (164)
Formation energy from the elements ... 0.0752 eV/atom


Entry 3:
Compound: CoCu
Source: the Alexandria database
Functional: GGA-PBEsol
Structure: optimized geometry

Geometry as POSCAR:
```
CoCu
1.0
0.0000 2.5549 2.5549
2.5549 0.0000 2.5549
2.5549 2.5549 0.0000
Co Cu
1 1
Direct
0.0000 0.0000 0.0000
0.7500 0.7500 0.7500
```

Results
SG ... F-43m (216)
Formation energy from the elements ... 1.6514 eV/atom


Entry 4:
Compound: Er2Co3Cu
Source: the Alexandria database
Functional: GGA-PBEsol
Structure: optimized geometry

Geometry as POSCAR:
```
Er2Co3Cu
1.0
2.4754 1.4292 4.0931
-2.4754 1.4292 4.0931
0.0000 -2.8584 4.0931
Er Co Cu
2 3 1
Direct
0.1223 0.1223 0.1223
0.8777 0.8777 0.8777
0.0000 0.5000 0.5000
0.5000 0.0000 0.5000
0.5000 0.5000 0.0000
0.5000 0.5000 0.5000
```

Results
SG ... R-3m (166)
Formation energy from the elements ... -0.2372 eV/atom


Entry 5:
Compound: LiCoCuF6
Source: the Alexandria database
Functional: GGA-PBEsol
Structure: optimized geometry

Geometry as POSCAR:
```
LiCoCuF6
1.0
4.5330 0.0000 0.0000
0.0000 4.5330 0.0000
0.0000 0.0000 8.9202
Li Co Cu F
2 2 2 12
Direct
0.0000 0.0000 0.0000
0.5000 0.5000 0.5000
0.0000 0.0000 0.6667
0.5000 0.5000 0.1667
0.0000 0.0000 0.3269
0.5000 0.5000 0.8269
0.1901 0.1901 0.5122
0.1913 0.1913 0.8209
0.2138 0.2138 0.1642
0.2862 0.7138 0.6642
0.3087 0.6913 0.3209
0.3099 0.6901 0.0122
0.6901 0.3099 0.0122
0.6913 0.3087 0.3209
0.7138 0.2862 0.6642
0.7862 0.7862 0.1642
0.8087 0.8087 0.8209
0.8099 0.8099 0.5122
```

Results
SG ... P4_2nm (102)
Raw formation energy ... -1.9546 eV per atom


Entry 6:
Compound: CoCuO2F
Source: the Alexandria database
Functional: GGA-PBEsol
Structure: optimized geometry

Geometry as POSCAR:
```
CoCuO2F
1.0
3.7439 0.0000 0.0000
0.0000 3.7439 0.0000
0.0000 0.0000 3.6546
Co Cu O F
1 1 2 1
Direct
0.0000 0.0000 0.0000
0.5000 0.5000 0.5000
0.0000 0.5000 0.5000
0.5000 0.0000 0.5000
0.5000 0.5000 0.0000
```

Results
SG ... P4/mmm (123)
Raw formation energy ... -0.1444 eV per atom


Entry 7:
Compound: FeCoCu2
Source: the Alexandria database
Functional: GGA-PBEsol
Structure: optimized geometry

Geometry as POSCAR:
```
FeCoCu2
1.0
2.4359 -3.7146 0.0000
2.4359 3.7146 0.0000
0.0000 0.0000 2.4460
Fe Co Cu
1 1 2
Direct
0.0000 0.0000 0.0000
0.5000 0.5000 0.0000
0.0000 0.5000 0.5000
0.5000 0.0000 0.5000
```

Results
SG ... Cmmm (65)
Formation energy from the elements ... 0.1642 eV/atom


Entry 8:
Compound: FeCoCu
Source: the Alexandria database
Functional: GGA-PBEsol
Structure: optimized geometry

Geometry as POSCAR:
```
FeCoCu
1.0
-1.2127 1.8178 3.7067
1.2127 -1.8178 3.7067
1.2127 1.8178 -3.7067
Fe Co Cu
1 1 1
Direct
0.0000 0.0000 0.0000
0.6662 0.6662 0.0000
0.3315 0.3315 0.0000
```

Results
SG ... Imm2 (44)
Formation energy from the elements ... 0.1141 eV/atom


Question: Which formula does entry 4 have?
Answer: Er2Co3Cu